(1)
AcCeTeSe2: relaxed, PBE.

The space group is I4mm (No. 107) and the conventional cell measures 4.7872, 4.7872 and 14.7727 Å, with angles of 90.00, 90.00 and 90.00 degrees. The inequivalent atoms are Ac at (0.0000, 0.0000, 0.0000), Ce at (0.0000, 0.0000, 0.2698), Te at (0.0000, 0.0000, 0.6268) and Se at (0.0000, 0.5000, 0.3750).

(2)
AcCeTe2Se: relaxed, PBE.

The space group is P4/nmm (No. 129, origin choice 2) and the conventional cell measures 4.5829, 4.5829 and 16.1309 Å, with angles of 90.00, 90.00 and 90.00 degrees. The inequivalent atoms are Ac at (0.2500, 0.2500, 0.1313), Ce at (0.2500, 0.2500, 0.5966), Te at (0.2500, 0.2500, 0.3955), Te at (0.2500, 0.2500, 0.7904) and Se at (0.2500, 0.7500, 0.0000).

Values for electronic total energy, eV/atom, ordered as above
-5.5067; -5.4438
Values for energy relative to the elements, uncorrected, eV per formula unit, ordered as above
-7.38; -7.41